# 1
Compound: PaNbPb
Source: the Open Quantum Materials Database
Functional: PBE
Structure: optimized geometry

Volume   26.5 Å³/atom
Uncorrected energy   -7.18 eV per atom
Theoretical density   11.1 g/cm³

Lattice parameters (Å, degrees): 4.8252 4.8252 4.8252 60.00 60.00 60.00
Element x y z (fractional)
Pa1 0.2500 0.2500 0.2500
Nb1 0.0000 0.0000 0.0000
Pb1 0.7500 0.7500 0.7500

# 2
Compound: FeMoP2
Source: the Open Quantum Materials Database
Functional: PBE
Structure: optimized geometry

Volume   17.2 Å³/atom
Uncorrected energy   -7.42 eV per atom
Theoretical density   5.2 g/cm³

Lattice parameters (Å, degrees): 6.1219 6.1219 6.1219 128.28 128.28 76.18
Last column: magnetic moment on the atom in μB.
Element x y z (fractional)
Mo1 0.5000 0.5000 0.0000  0.07
P1 0.6571 0.6250 0.5321  0.00
Mo2 0.2500 0.7500 0.5000  0.07
P2 0.0929 0.1250 0.4679  0.00
Fe1 0.7500 0.2500 0.5000  0.07
P3 0.3750 0.9071 0.0321  0.00
P4 0.8750 0.3429 0.9679  0.00
Fe2 0.0000 0.0000 0.0000  0.07

# 3
Compound: NaPmNd
Source: the Open Quantum Materials Database
Functional: PBE
Structure: optimized geometry

Volume   37.7 Å³/atom
Uncorrected energy   -2.87 eV per atom
Theoretical density   4.6 g/cm³

Lattice parameters (Å, degrees): 5.4288 5.4288 5.4288 60.00 60.00 60.00
Element x y z (fractional)
Nd1 0.2500 0.2500 0.2500
Pm1 0.7500 0.7500 0.7500
Na1 0.0000 0.0000 0.0000

# 4
Compound: NdErO4
Source: the Open Quantum Materials Database
Functional: PBE
Structure: optimized geometry

Volume   13.2 Å³/atom
Uncorrected energy   -7.75 eV per atom
Theoretical density   7.8 g/cm³

Lattice parameters (Å, degrees): 3.8829 3.8829 6.2388 95.98 95.98 58.35
Element x y z (fractional)
O1 0.0846 0.0846 0.4511
Er1 0.3151 0.3151 0.7700
O2 0.3523 0.3523 0.1315
Nd1 0.6898 0.6898 0.2304
O3 0.6478 0.6478 0.8428
O4 0.9104 0.9104 0.5743

Look up the volume of the first one.
26.5 Å³/atom

Look up the uncorrected energy of the third one.
-2.87 eV per atom